Entry 1:
This record from Alexandria via LeMat-Bulk describes RbMnMo2 after structural relaxation. The functional is PBE. Values from VASP.

```
&SYSTEM
  ibrav = 0, nat = 8, ntyp = 3
/
ATOMIC_SPECIES
Mn 54.94 Mn.upf
Rb 85.47 Rb.upf
Mo 95.94 Mo.upf
CELL_PARAMETERS angstrom
5.2171 0.0000 0.0000
0.0000 5.2171 0.0000
2.6086 2.6086 7.7681
ATOMIC_POSITIONS angstrom
Mn 2.6086 5.2171 3.8841
Mn 2.6086 2.6086 0.0000
Rb 5.2171 2.6086 3.8841
Rb 0.0000 0.0000 0.0000
Mo 6.5214 5.2049 5.8261
Mo 2.6208 3.9128 1.9420
Mo 3.9128 5.2294 5.8261
Mo 2.5963 1.3043 1.9420
```

Results
Total magnetization ... 0.0004 μB/atom
ΔE_f ... 1.839 eV per atom
Energy above the lowest structure with this stoichiometry ... 0 meV/atom

=====

Entry 2:
This record from Alexandria via LeMat-Bulk describes Rb2MnMo after structural relaxation. The functional is PBE. Values from VASP.

```
&SYSTEM
  ibrav = 0, nat = 4, ntyp = 3
/
ATOMIC_SPECIES
Rb 85.47 Rb.upf
Mn 54.94 Mn.upf
Mo 95.94 Mo.upf
CELL_PARAMETERS angstrom
0.0000 4.4274 4.4274
4.4274 0.0000 4.4274
4.4274 4.4274 0.0000
ATOMIC_POSITIONS angstrom
Rb 2.2137 2.2137 2.2137
Rb 6.6411 6.6411 6.6411
Mn 0.0000 0.0000 0.0000
Mo 4.4274 4.4274 4.4274
```

Results
Total magnetization ... 2.3650 μB/atom
ΔE_f ... 1.807 eV per atom
Energy above the lowest structure with this stoichiometry ... 249 meV/atom

=====

Entry 3:
This record from Alexandria via LeMat-Bulk describes RbMnMo3 after structural relaxation. The functional is PBE. Values from VASP.

```
&SYSTEM
  ibrav = 0, nat = 5, ntyp = 3
/
ATOMIC_SPECIES
Rb 85.47 Rb.upf
Mo 95.94 Mo.upf
Mn 54.94 Mn.upf
CELL_PARAMETERS angstrom
-1.7014 -0.7170 4.2231
-2.4406 -3.5721 -1.5897
3.5202 -2.8230 0.9390
ATOMIC_POSITIONS angstrom
Rb 0.0000 0.0000 0.0000
Mo -1.2203 -1.7860 -0.7949
Mo -0.8507 -0.3585 2.1115
Mn -0.3109 -3.5560 1.7862
Mo 1.7601 -1.4115 0.4695
```

Results
Total magnetization ... 0.0303 μB/atom
ΔE_f ... 3.630 eV per atom
Energy above the lowest structure with this stoichiometry ... 1939 meV/atom

=====

Entry 4:
This record from Alexandria via LeMat-Bulk describes RbMnMo2 after structural relaxation. The functional is PBE. Values from VASP.

```
&SYSTEM
  ibrav = 0, nat = 4, ntyp = 3
/
ATOMIC_SPECIES
Mo 95.94 Mo.upf
Rb 85.47 Rb.upf
Mn 54.94 Mn.upf
CELL_PARAMETERS angstrom
0.0000 3.2232 3.2232
3.2232 0.0000 3.2232
3.2232 3.2232 0.0000
ATOMIC_POSITIONS angstrom
Mo 4.8348 4.8348 4.8348
Rb 3.2232 3.2232 3.2232
Mo 1.6116 1.6116 1.6116
Mn 0.0000 0.0000 0.0000
```

Results
Total magnetization ... 0.0000 μB/atom
ΔE_f ... 1.905 eV per atom
Energy above the lowest structure with this stoichiometry ... 65 meV/atom

=====

Entry 5:
This record from Alexandria via LeMat-Bulk describes RbMnMo3 after structural relaxation. The functional is PBE. Values from VASP.

```
&SYSTEM
  ibrav = 0, nat = 5, ntyp = 3
/
ATOMIC_SPECIES
Rb 85.47 Rb.upf
Mo 95.94 Mo.upf
Mn 54.94 Mn.upf
CELL_PARAMETERS angstrom
-3.3158 -1.8513 2.7452
1.4445 -4.3046 -1.1583
2.9794 0.0266 3.6167
ATOMIC_POSITIONS angstrom
Rb 0.5540 -3.0647 2.6018
Mo 1.4897 0.0133 1.8083
Mn 0.0000 0.0000 0.0000
Mo 0.7222 -2.1523 -0.5791
Mo -1.6579 -0.9256 1.3726
```

Results
Total magnetization ... 0.0000 μB/atom
ΔE_f ... 1.691 eV per atom
Energy above the lowest structure with this stoichiometry ... 0 meV/atom

=====

Entry 6:
This record from Alexandria via LeMat-Bulk describes Rb2MnSiMo after structural relaxation. The functional is PBE. Values from VASP.

```
&SYSTEM
  ibrav = 0, nat = 5, ntyp = 4
/
ATOMIC_SPECIES
Rb 85.47 Rb.upf
Mn 54.94 Mn.upf
Si 28.09 Si.upf
Mo 95.94 Mo.upf
CELL_PARAMETERS angstrom
6.8232 0.0000 0.0000
0.0000 4.6199 0.0000
0.0000 0.0000 6.8232
ATOMIC_POSITIONS angstrom
Rb 0.0000 0.0000 3.4116
Mn 0.0000 0.0000 0.0000
Si 0.0000 2.3099 0.0000
Rb 3.4116 0.0000 0.0000
Mo 3.4116 2.3099 3.4116
```

Results
Total magnetization ... 1.8299 μB/atom
Uncorrected formation energy ... 7.2 eV/f.u.

=====

Entry 7:
This record from Alexandria via LeMat-Bulk describes RbMnVMo2 after structural relaxation. The functional is PBE. Values from VASP.

```
&SYSTEM
  ibrav = 0, nat = 5, ntyp = 4
/
ATOMIC_SPECIES
V 50.94 V.upf
Mo 95.94 Mo.upf
Mn 54.94 Mn.upf
Rb 85.47 Rb.upf
CELL_PARAMETERS angstrom
-3.6168 2.8800 -0.6181
-1.0782 -0.3912 4.4862
2.7380 3.6480 0.9761
ATOMIC_POSITIONS angstrom
V -0.5391 -0.1956 2.2431
Mo 1.3690 1.8240 0.4881
Mn 0.0000 0.0000 0.0000
Rb -0.9785 3.0684 2.4221
Mo -1.8084 1.4400 -0.3091
```

Results
Total magnetization ... 0.0014 μB/atom
ΔE_f ... 1.573 eV per atom

=====

Entry 8:
This record from Alexandria via LeMat-Bulk describes MnReMo2 after structural relaxation. The functional is PBE. Values from VASP.

```
&SYSTEM
  ibrav = 0, nat = 4, ntyp = 3
/
ATOMIC_SPECIES
Mn 54.94 Mn.upf
Mo 95.94 Mo.upf
Re 186.21 Re.upf
CELL_PARAMETERS angstrom
-2.2560 1.2737 0.9285
-0.7425 -2.2888 1.3357
3.8649 2.3472 6.1704
ATOMIC_POSITIONS angstrom
Mn 1.3994 1.2528 5.7600
Mo 2.0249 1.2298 3.2328
Re -0.5330 0.0792 2.6747
Mo 3.7724 2.2910 6.0228
```

Results
Total magnetization ... 0.0005 μB/atom
ΔE_f ... 0.219 eV per atom
Energy above the lowest structure with this stoichiometry ... 150 meV/atom